(1)
Below is a PBEsol-optimized structure of Ta2CdFe, with properties calculated at the meta-GGA SCAN level.

POSCAR file:
```
Ta2CdFe
1.0
-1.965 1.965 4.194
1.965 -1.965 4.194
1.965 1.965 -4.194
Ta Cd Fe
2 1 1
direct
0.000 0.000 0.000
0.750 0.250 0.500
0.500 0.500 0.000
0.250 0.750 0.500
```

Results
calculated total energy	-45.035	eV per atom
theoretical density	13.6	g/cm3
volume	16.2	Å³ per atom

---

(2)
Below is a PBEsol-optimized structure of CdFeTc2, with properties calculated at the meta-GGA SCAN level.

POSCAR file:
```
CdFeTc2
1.0
-1.586 2.182 4.167
1.586 -2.182 4.167
1.586 2.182 -4.167
Cd Fe Tc
1 1 2
direct
0.000 0.000 0.000
0.255 0.755 0.500
0.488 0.488 0.000
0.727 0.227 0.500
```

Results
calculated total energy	-29.298	eV per atom
theoretical density	10.5	g/cm3
volume	14.4	Å³ per atom

---

(3)
Below is a PBEsol-optimized structure of CdFeTc2, with properties calculated at the meta-GGA SCAN level.

POSCAR file:
```
CdFeTc2
1.0
2.605 -4.197 0.000
2.605 4.197 0.000
0.000 0.000 2.634
Cd Fe Tc
1 1 2
direct
0.000 0.000 0.000
0.500 0.500 0.000
0.000 0.500 0.500
0.500 0.000 0.500
```

Results
calculated total energy	-29.180	eV per atom
theoretical density	10.5	g/cm3
volume	14.4	Å³ per atom

---

(4)
Below is a PBEsol-optimized structure of CdFe3Te, with properties calculated at the meta-GGA SCAN level.

POSCAR file:
```
CdFe3Te
1.0
4.627 0.000 0.000
0.000 4.627 0.000
0.000 0.000 4.627
Cd Fe Te
1 3 1
direct
0.000 0.000 0.000
0.000 0.500 0.500
0.500 0.000 0.500
0.500 0.500 0.000
0.500 0.500 0.500
```

Results
calculated total energy	-23.354	eV per atom
ΔE_f (raw)	5.28	eV/f.u.
theoretical density	6.8	g/cm3
volume	19.8	Å³ per atom
ΔE to the lowest computed polymorph	0	meV/atom